This record from the Alexandria database describes Cs2Mg2Mo3O12 after structural relaxation. The functional is PBE+U.

a b c (Å): 11.082 11.082 11.082
angles (deg): 90.00 90.00 90.00
Atoms (fractional coordinates):
Cs  0.045  0.045  0.045
Cs  0.455  0.955  0.545
Cs  0.955  0.545  0.455
Cs  0.545  0.455  0.955
Cs  0.822  0.822  0.822
Cs  0.678  0.178  0.322
Cs  0.178  0.322  0.678
Cs  0.322  0.678  0.178
Mg  0.338  0.338  0.338
Mg  0.162  0.662  0.838
Mg  0.662  0.838  0.162
Mg  0.838  0.162  0.662
Mg  0.613  0.613  0.613
Mg  0.887  0.387  0.113
Mg  0.387  0.113  0.887
Mg  0.113  0.887  0.387
Mo  0.026  0.201  0.376
Mo  0.474  0.799  0.876
Mo  0.974  0.701  0.124
Mo  0.376  0.026  0.201
Mo  0.526  0.299  0.624
Mo  0.876  0.474  0.799
Mo  0.124  0.974  0.701
Mo  0.624  0.526  0.299
Mo  0.201  0.376  0.026
Mo  0.701  0.124  0.974
Mo  0.299  0.624  0.526
Mo  0.799  0.876  0.474
O  0.024  0.045  0.329
O  0.476  0.955  0.829
O  0.976  0.545  0.171
O  0.329  0.024  0.045
O  0.524  0.455  0.671
O  0.829  0.476  0.955
O  0.171  0.976  0.545
O  0.671  0.524  0.455
O  0.045  0.329  0.024
O  0.545  0.171  0.976
O  0.455  0.671  0.524
O  0.955  0.829  0.476
O  0.279  0.484  0.447
O  0.221  0.516  0.947
O  0.721  0.984  0.053
O  0.447  0.279  0.484
O  0.779  0.016  0.553
O  0.947  0.221  0.516
O  0.053  0.721  0.984
O  0.553  0.779  0.016
O  0.484  0.447  0.279
O  0.984  0.053  0.721
O  0.016  0.553  0.779
O  0.516  0.947  0.221
O  0.052  0.788  0.236
O  0.448  0.212  0.736
O  0.948  0.288  0.264
O  0.236  0.052  0.788
O  0.552  0.712  0.764
O  0.736  0.448  0.212
O  0.264  0.948  0.288
O  0.764  0.552  0.712
O  0.788  0.236  0.052
O  0.288  0.264  0.948
O  0.712  0.764  0.552
O  0.212  0.736  0.448
O  0.177  0.255  0.396
O  0.323  0.745  0.896
O  0.823  0.755  0.104
O  0.396  0.177  0.255
O  0.677  0.245  0.604
O  0.896  0.323  0.745
O  0.104  0.823  0.755
O  0.604  0.677  0.245
O  0.255  0.396  0.177
O  0.755  0.104  0.823
O  0.245  0.604  0.677
O  0.745  0.896  0.323

Output
- SG = P2_13, No. 198
- mass density (g/cm3) = 3.88
- E_tot (eV for the cell shown) = -495.888
- total magnetic moment (μB per cell) = 0.0